# 1
# Mo2PtRh

A relaxed structure of Mo2PtRh (PBE, Alexandria).

Values from the calculation:
E_form (eV/atom): 0.028
Energy above the lowest structure with this stoichiometry (meV per atom): 320
Uncorrected energy (eV per formula unit): -34.9
Spin magnetization (μB/cell): 0.00
Symmetry: F-43m

a b c (Å): 4.438 4.438 4.438
angles (deg): 60.00 60.00 60.00
Element x y z (fractional)
Mo1 0.000 0.000 0.000
Mo2 0.250 0.250 0.250
Pt1 0.500 0.500 0.500
Rh1 0.750 0.750 0.750

---

# 2
# Mo2Pt5Rh2

A relaxed structure of Mo2Pt5Rh2 (PBE, Alexandria).

Values from the calculation:
E_form (eV/atom): -0.273
Uncorrected energy (eV per formula unit): -69.0
Spin magnetization (μB/cell): 0.00
Symmetry: C2/m

a b c (Å): 4.826 4.826 8.326
angles (deg): 106.77 106.77 48.09
Element x y z (fractional)
Mo1 0.001 0.001 0.167
Mo2 0.999 0.999 0.833
Pt1 0.000 0.000 0.500
Pt2 0.337 0.337 0.943
Pt3 0.340 0.340 0.616
Pt4 0.660 0.660 0.384
Pt5 0.663 0.663 0.057
Rh1 0.334 0.334 0.276
Rh2 0.666 0.666 0.724

---

# 3
# MoPt2Rh

A relaxed structure of MoPt2Rh (PBE, Alexandria).

Values from the calculation:
E_form (eV/atom): -0.268
Energy above the lowest structure with this stoichiometry (meV per atom): 0
Uncorrected energy (eV per formula unit): -31.3
Spin magnetization (μB/cell): 0.00
Symmetry: I-4m2

a b c (Å): 4.822 4.822 4.822
angles (deg): 132.02 132.02 70.20
Element x y z (fractional)
Mo1 0.000 0.000 0.000
Pt1 0.500 0.500 0.000
Pt2 0.750 0.250 0.500
Rh1 0.250 0.750 0.500

---

# 4
# MoPt4Rh2

A relaxed structure of MoPt4Rh2 (PBE, Alexandria).

Values from the calculation:
E_form (eV/atom): 0.188
Energy above the lowest structure with this stoichiometry (meV per atom): 397
Uncorrected energy (eV per formula unit): -48.4
Spin magnetization (μB/cell): 0.00
Symmetry: I-42d

a b c (Å): 6.687 6.687 6.687
angles (deg): 109.36 109.36 109.69
Element x y z (fractional)
Mo1 0.000 0.000 0.000
Mo2 0.750 0.250 0.500
Pt1 0.110 0.200 0.744
Pt2 0.115 0.706 0.756
Pt3 0.294 0.050 0.409
Pt4 0.456 0.365 0.256
Pt5 0.635 0.890 0.091
Pt6 0.640 0.885 0.591
Pt7 0.800 0.544 0.909
Pt8 0.950 0.360 0.244
Rh1 0.259 0.625 0.134
Rh2 0.375 0.509 0.634
Rh3 0.491 0.125 0.866
Rh4 0.875 0.741 0.366

---

# 5
# Mo2PtRh9

A relaxed structure of Mo2PtRh9 (PBE, Alexandria).

Values from the calculation:
E_form (eV/atom): -0.138
Uncorrected energy (eV per formula unit): -95.5
Spin magnetization (μB/cell): 0.00
Symmetry: P-1

a b c (Å): 4.747 6.113 6.707
angles (deg): 111.29 90.27 104.95
Element x y z (fractional)
Mo1 0.090 0.260 0.083
Mo2 0.910 0.740 0.917
Pt1 0.000 0.500 0.500
Rh1 0.165 0.001 0.674
Rh2 0.247 0.751 0.243
Rh3 0.333 0.500 0.834
Rh4 0.409 0.247 0.412
Rh5 0.500 0.000 0.000
Rh6 0.591 0.753 0.588
Rh7 0.667 0.500 0.166
Rh8 0.753 0.249 0.757
Rh9 0.835 0.999 0.326

---

# 6
# Mo4Pt2Rh3

A relaxed structure of Mo4Pt2Rh3 (PBE, Alexandria).

Values from the calculation:
E_form (eV/atom): -0.232
Uncorrected energy (eV per formula unit): -79.6
Spin magnetization (μB/cell): 0.00
Symmetry: C2/m

a b c (Å): 4.852 4.852 8.309
angles (deg): 108.35 108.35 47.63
Element x y z (fractional)
Mo1 0.008 0.008 0.339
Mo2 0.333 0.333 0.112
Mo3 0.667 0.667 0.888
Mo4 0.992 0.992 0.661
Pt1 0.333 0.333 0.784
Pt2 0.667 0.667 0.216
Rh1 0.000 0.000 0.000
Rh2 0.335 0.335 0.441
Rh3 0.665 0.665 0.559

---

# 7
# MoPt3Rh2

A relaxed structure of MoPt3Rh2 (PBE, Alexandria).

Values from the calculation:
E_form (eV/atom): 0.277
Energy above the lowest structure with this stoichiometry (meV per atom): 327
Uncorrected energy (eV per formula unit): -42.0
Spin magnetization (μB/cell): 0.00
Symmetry: Pnnm

a b c (Å): 8.590 9.470 2.704
angles (deg): 90.00 90.00 90.00
Element x y z (fractional)
Mo1 0.000 0.000 0.000
Mo2 0.500 0.500 0.500
Pt1 0.000 0.500 0.000
Pt2 0.028 0.247 0.500
Pt3 0.472 0.747 0.000
Pt4 0.500 0.000 0.500
Pt5 0.528 0.253 0.000
Pt6 0.972 0.753 0.500
Rh1 0.246 0.603 0.500
Rh2 0.254 0.103 0.000
Rh3 0.746 0.897 0.000
Rh4 0.754 0.397 0.500

---

# 8
# MoPt4Rh

A relaxed structure of MoPt4Rh (PBE, Alexandria).

Values from the calculation:
E_form (eV/atom): -0.221
Energy above the lowest structure with this stoichiometry (meV per atom): 0
Uncorrected energy (eV per formula unit): -43.7
Spin magnetization (μB/cell): 0.00
Symmetry: C2/m

a b c (Å): 4.831 4.831 4.832
angles (deg): 99.78 99.78 120.07
Element x y z (fractional)
Mo1 0.000 0.000 0.000
Pt1 0.163 0.837 0.500
Pt2 0.335 0.665 0.000
Pt3 0.665 0.335 0.000
Pt4 0.837 0.163 0.500
Rh1 0.500 0.500 0.500

---

# 9
# MoPt2Rh

A relaxed structure of MoPt2Rh (PBE, Alexandria).

Values from the calculation:
E_form (eV/atom): -0.162
Energy above the lowest structure with this stoichiometry (meV per atom): 107
Uncorrected energy (eV per formula unit): -30.9
Spin magnetization (μB/cell): 0.00
Symmetry: Cmmm

a b c (Å): 4.857 4.857 2.757
angles (deg): 90.00 90.00 110.83
Element x y z (fractional)
Mo1 0.000 0.000 0.000
Pt1 0.000 0.500 0.500
Pt2 0.500 0.000 0.500
Rh1 0.500 0.500 0.000

---

# 10
# MoPt4Rh

A relaxed structure of MoPt4Rh (PBE, Alexandria).

Values from the calculation:
E_form (eV/atom): 0.193
Energy above the lowest structure with this stoichiometry (meV per atom): 414
Uncorrected energy (eV per formula unit): -41.2
Spin magnetization (μB/cell): 0.00
Symmetry: F-43m

a b c (Å): 5.172 5.172 5.172
angles (deg): 60.00 60.00 60.00
Element x y z (fractional)
Mo1 0.000 0.000 0.000
Pt1 0.125 0.625 0.625
Pt2 0.625 0.125 0.625
Pt3 0.625 0.625 0.125
Pt4 0.625 0.625 0.625
Rh1 0.250 0.250 0.250

---

# 11
# MoPt2Rh

A relaxed structure of MoPt2Rh (PBE, Alexandria).

Values from the calculation:
E_form (eV/atom): -0.225
Energy above the lowest structure with this stoichiometry (meV per atom): 43
Uncorrected energy (eV per formula unit): -31.2
Spin magnetization (μB/cell): 0.00
Symmetry: P4mm

a b c (Å): 2.766 2.766 7.968
angles (deg): 90.00 90.00 90.00
Element x y z (fractional)
Mo1 0.000 0.000 0.000
Pt1 0.000 0.000 0.512
Pt2 0.500 0.500 0.247
Rh1 0.500 0.500 0.769

---

# 12
# Mo3Pt2Rh4

A relaxed structure of Mo3Pt2Rh4 (PBE, Alexandria).

Values from the calculation:
E_form (eV/atom): -0.145
Uncorrected energy (eV per formula unit): -75.3
Spin magnetization (μB/cell): 0.00
Symmetry: P-1

a b c (Å): 5.486 6.800 7.497
angles (deg): 103.28 90.16 90.05
Element x y z (fractional)
Mo1 0.005 0.136 0.280
Mo2 0.235 0.498 0.496
Mo3 0.246 0.193 0.980
Mo4 0.754 0.807 0.020
Mo5 0.765 0.502 0.504
Mo6 0.995 0.864 0.720
Pt1 0.257 0.162 0.620
Pt2 0.495 0.509 0.183
Pt3 0.505 0.491 0.817
Pt4 0.743 0.838 0.380
Rh1 0.000 0.499 0.816
Rh2 0.000 0.501 0.184
Rh3 0.246 0.828 0.378
Rh4 0.250 0.825 0.023
Rh5 0.498 0.153 0.286
Rh6 0.502 0.847 0.714
Rh7 0.750 0.175 0.977
Rh8 0.754 0.172 0.622

---

> E_form of number 2 (Mo2Pt5Rh2)?

-0.273 eV/atom

---

> The highest uncorrected energy belongs to which entry?

number 9

---

What did the seventh record say?
# MoPt3Rh2

A relaxed structure of MoPt3Rh2 (PBE, Alexandria).

Values from the calculation:
E_form (eV/atom): 0.277
Energy above the lowest structure with this stoichiometry (meV per atom): 327
Uncorrected energy (eV per formula unit): -42.0
Spin magnetization (μB/cell): 0.00
Symmetry: Pnnm

a b c (Å): 8.590 9.470 2.704
angles (deg): 90.00 90.00 90.00
Element x y z (fractional)
Mo1 0.000 0.000 0.000
Mo2 0.500 0.500 0.500
Pt1 0.000 0.500 0.000
Pt2 0.028 0.247 0.500
Pt3 0.472 0.747 0.000
Pt4 0.500 0.000 0.500
Pt5 0.528 0.253 0.000
Pt6 0.972 0.753 0.500
Rh1 0.246 0.603 0.500
Rh2 0.254 0.103 0.000
Rh3 0.746 0.897 0.000
Rh4 0.754 0.397 0.500